Below is FePtW3 after structural relaxation, with properties calculated at the PBE level.

## Properties
formation enthalpy at 0 K: 2587 meV per atom
E above lowest polymorph: 1410 meV/atom
magnetization: 0.00 μB/f.u.

a b c (Å): 4.7336 4.7336 4.7336
angles (deg): 90.00 90.00 90.00
Atoms (fractional coordinates):
W 0.0000 0.5000 0.0000
W 0.0000 0.0000 0.5000
W 0.5000 0.0000 0.0000
Pt 0.0000 0.0000 0.0000
Fe 0.5000 0.5000 0.5000